LaPmDy2As4 | PBE | relaxed

a = 4.217 Å, b = 7.294 Å, c = 7.300 Å
α = 70.54°, β = 90.00°, γ = 90.00°
Positions (direct):
La 0.000 0.500 0.500
Pm 0.500 0.500 0.000
Dy 0.000 0.000 0.000
Dy 0.500 0.000 0.500
As 0.000 0.759 0.750
As 0.000 0.241 0.250
As 0.500 0.761 0.243
As 0.500 0.239 0.757

* symmetry: No. 10
* crystal system: monoclinic
* energy of formation from the pure elements: -1534 meV/atom